(P)
{"formula": "Ir2RuPt", "functional": "PBEsol", "state": "optimized geometry", "lattice": [[-2.4424, 0.1928, 1.1397], [-1.1241, -1.0168, -2.2370], [0.7691, -7.1294, 2.8541]], "species": ["Ru", "Ir", "Ir", "Pt"], "frac_coords": [[0.5000, 0.5000, 0.7572], [0.0000, 0.0000, 0.9956], [0.5000, 0.5000, 0.2433], [0.0000, 0.0000, 0.5040]]}

(Q)
{"formula": "Ir2RuPt", "functional": "PBEsol", "state": "optimized geometry", "lattice": [[2.7106, 0.0000, 0.0000], [-1.3553, 4.4973, 0.0002], [0.0000, -0.8082, 4.6183]], "species": ["Ru", "Ir", "Ir", "Pt"], "frac_coords": [[0.7468, 0.4935, 0.2431], [0.0010, 0.0020, 0.0030], [0.2529, 0.5057, 0.7556], [0.4994, 0.9987, 0.4983]]}

(P) is the most stable structure; the next one sits 19 meV per atom above it.

(P)
{"formula": "Sc2Br", "functional": "PBEsol", "state": "optimized geometry", "lattice": [[3.4386, 0.0000, 0.0000], [-1.7193, 2.9779, 0.0000], [0.0000, 0.0000, 6.5094]], "species": ["Br", "Sc", "Sc"], "frac_coords": [[0.0000, 0.0000, 0.0000], [0.3333, 0.6667, 0.3216], [0.6667, 0.3333, 0.6784]]}

(Q)
{"formula": "Sc2Br", "functional": "PBEsol", "state": "optimized geometry", "lattice": [[-2.9848, -0.5741, 1.2525], [-0.9623, -1.2700, -2.8755], [3.8197, -4.6528, 2.6559]], "species": ["Br", "Sc", "Sc"], "frac_coords": [[0.5000, 0.5000, 0.0000], [0.1649, 0.1649, 0.3298], [0.8351, 0.8351, 0.6702]]}

(P) is the most stable structure; the next one sits 188 meV per atom above it.

(P)
{"formula": "CuReNi2", "functional": "PBEsol", "state": "optimized geometry", "lattice": [[2.5957, 0.0000, 0.0000], [0.0000, 2.5957, 0.0000], [0.0000, 0.0000, 6.9262]], "species": ["Re", "Cu", "Ni", "Ni"], "frac_coords": [[0.5000, 0.5000, 0.0000], [0.5000, 0.5000, 0.5000], [0.0000, 0.0000, 0.7417], [0.0000, 0.0000, 0.2583]]}

(Q)
{"formula": "CuReNi2", "functional": "PBEsol", "state": "optimized geometry", "lattice": [[-0.9904, -1.2860, -2.0377], [0.4876, -2.5417, -0.2984], [-6.7941, -3.0573, 3.5663]], "species": ["Cu", "Ni", "Ni", "Re"], "frac_coords": [[0.0000, 0.0000, 0.0000], [0.2519, 0.2519, 0.2444], [0.7481, 0.7481, 0.7556], [0.5000, 0.5000, 0.5000]]}

(P) is the most stable structure; the next one sits 99 meV per atom above it.

(P)
{"formula": "LiW2Cl", "functional": "PBEsol", "state": "optimized geometry", "lattice": [[-1.3878, 2.0395, 1.1025], [0.0270, -2.3940, 4.4624], [3.9724, 3.3097, -1.1220]], "species": ["Cl", "Li", "W", "W"], "frac_coords": [[0.5000, 0.0000, 0.0000], [0.5000, 0.5000, 0.0000], [0.0000, 0.0000, 0.5000], [0.0000, 0.5000, 0.5000]]}

(Q)
{"formula": "LiW2Cl", "functional": "PBEsol", "state": "optimized geometry", "lattice": [[2.7184, 0.0000, 0.0000], [0.0000, 4.4966, 0.0000], [0.0000, 0.0000, 4.4966]], "species": ["Cl", "Li", "W", "W"], "frac_coords": [[0.5000, 0.5000, 0.5000], [0.5000, 0.0000, 0.0000], [0.0000, 0.0000, 0.5000], [0.0000, 0.5000, 0.0000]]}

(P) is the most stable structure; the next one sits 137 meV per atom above it.